First-principles (PBE-GGA) data for a relaxed structure of LaTaCd2, as listed in Alexandria via LeMat-Bulk.

Formation energy = 1.645 eV/f.u.
ΔE to the lowest computed polymorph = 1.08 eV/f.u.
Size of the total moment = 0.0 μB per formula unit

abc: 4.5104 4.5104 9.4508
angles: 90.00 90.00 90.00
Space group I-4m2 (No. 119)
Asymmetric unit:
La1 0.0000 0.0000 0.0000 [2 per cell]
Ta1 0.0000 0.5000 0.7500 [2 per cell]
Cd1 0.0000 0.0000 0.5000 [2 per cell]
Cd2 0.0000 0.5000 0.2500 [2 per cell]